A plane-wave DFT calculation with PBE was carried out for a geometry-optimized Pm8PPt3I4 structure.

The value obtained for the energy relative to the elements, uncorrected is -1.1361 eV per atom. The calculation puts the final energy at -257.745 eV/cell. The crystal system is trigonal. The calculation puts the volume at 31.11 Å³ per atom.

The space group is R-3m (No. 166, hexagonal axes) and the conventional cell measures 8.5430, 8.5430 and 23.6282 Å, with angles of 90.00, 90.00 and 120.00 degrees. The asymmetric unit holds Pm at (0.0000, 0.0000, 0.2282), Pm at (0.0034, 0.5017, 0.7705), P at (0.0000, 0.0000, 0.5000), Pt at (0.0000, 0.5000, 0.5000), I at (0.0000, 0.0000, 0.0000) and I at (0.0000, 0.5000, 0.0000).